[1]
Compound: Ce2InCuSe5
Source: the Alexandria database
Functional: GGA-PBE
Structure: relaxed

Cell and atoms, written as POSCAR:
```
Ce2InCuSe5
1.0
4.078 0.000 0.000
0.000 12.248 0.000
0.000 0.000 17.358
Ce In Cu Se
8 4 4 20
Cartesian
1.020 1.672 7.004 Ce
3.059 0.319 14.256 Ce
1.020 7.796 1.675 Ce
3.059 4.452 15.683 Ce
1.020 5.805 5.577 Ce
1.020 11.929 3.102 Ce
3.059 10.575 10.354 Ce
3.059 6.443 11.781 Ce
1.020 8.461 14.974 In
3.059 9.910 6.295 In
3.059 3.787 2.384 In
1.020 2.337 11.063 In
1.020 0.900 0.044 Cu
1.020 7.024 8.635 Cu
3.059 5.224 8.723 Cu
3.059 11.348 17.314 Cu
3.059 1.289 9.270 Se
3.059 3.204 12.683 Se
3.059 6.323 3.397 Se
1.020 8.367 10.643 Se
1.020 10.958 8.088 Se
3.059 3.881 6.715 Se
1.020 2.920 4.004 Se
3.059 1.204 1.389 Se
1.020 5.925 13.960 Se
1.020 4.920 10.068 Se
3.059 7.413 16.767 Se
3.059 0.199 5.282 Se
1.020 2.243 15.394 Se
1.020 11.044 15.969 Se
1.020 9.044 4.675 Se
3.059 7.328 7.290 Se
3.059 10.005 1.964 Se
3.059 9.328 13.354 Se
1.020 12.049 12.076 Se
1.020 4.835 0.591 Se
```

electronic total energy: -5.208 eV/atom
density of states at the Fermi level: 1.4408 states/eV/atom
formation energy (no corrections): -27.543 kcal/mol of atoms

=====

[2]
Compound: LiMg2Sb2
Source: the Alexandria database
Functional: GGA-PBE
Structure: relaxed

Cell and atoms, written as POSCAR:
```
LiMg2Sb2
1.0
-3.393 2.166 2.595
-2.827 -3.864 -0.471
11.651 5.280 10.826
Li Mg Sb
2 4 4
Cartesian
2.782 3.567 7.289 Li
2.650 0.016 5.661 Li
8.332 5.925 12.577 Mg
4.675 0.656 7.774 Mg
-2.900 -2.342 0.373 Mg
0.757 2.926 5.176 Mg
3.571 2.512 4.781 Sb
-1.243 1.870 3.444 Sb
6.675 1.713 9.506 Sb
1.861 1.071 8.169 Sb
```

electronic total energy: -2.962 eV/atom
density of states at the Fermi level: 0.2614 states/eV/atom
formation energy (no corrections): -6.752 kcal/mol of atoms

=====

[3]
Compound: BaCaPt
Source: the Alexandria database
Functional: GGA-PBE
Structure: relaxed

Cell and atoms, written as POSCAR:
```
BaCaPt
1.0
4.451 0.000 0.000
-2.226 3.855 0.000
0.000 0.000 6.797
Ca Ba Pt
1 1 1
Cartesian
2.226 1.285 3.049 Ca
0.000 0.000 6.170 Ba
0.000 2.570 4.376 Pt
```

formation enthalpy at 0 K: -620 meV per atom
electronic total energy: -3.941 eV/atom
density of states at the Fermi level: 0.2615 states/eV/atom

=====

[4]
Compound: LaCo2Cu
Source: the Alexandria database
Functional: GGA-PBE
Structure: relaxed

Cell and atoms, written as POSCAR:
```
LaCo2Cu
1.0
8.834 -0.020 -0.012
8.344 2.903 -0.012
8.344 1.400 2.543
Co Cu La
2 1 1
Cartesian
0.353 0.059 0.035 Co
12.408 2.082 1.225 Co
19.142 3.213 1.890 Cu
6.381 1.071 0.630 La
```

formation enthalpy at 0 K: 748 meV per atom
electronic total energy: -5.061 eV/atom
density of states at the Fermi level: 2.0461 states/eV/atom

=====

[5]
Compound: Li2MgRuSe
Source: the Alexandria database
Functional: GGA-PBE
Structure: relaxed

Cell and atoms, written as POSCAR:
```
Li2MgRuSe
1.0
-3.729 1.567 -2.610
-2.932 -1.019 3.578
0.622 4.432 1.772
Ru Mg Se Li
1 1 1 2
Cartesian
-3.020 2.490 1.370 Ru
0.000 0.000 0.000 Mg
-1.466 -0.510 1.789 Se
0.311 2.216 0.886 Li
-1.865 0.784 -1.305 Li
```

electronic total energy: -2.770 eV/atom
density of states at the Fermi level: 0.7617 states/eV/atom
formation energy (no corrections): 19.993 kcal/mol of atoms

=====

[6]
Compound: Nd3SnGe2
Source: the Alexandria database
Functional: GGA-PBE
Structure: relaxed

Cell and atoms, written as POSCAR:
```
Nd3SnGe2
1.0
7.827 0.626 0.488
3.122 7.204 0.488
3.122 2.233 6.867
Nd Sn Ge
6 2 4
Cartesian
5.968 2.388 5.394 Nd
4.189 6.422 3.411 Nd
7.431 3.769 0.998 Nd
8.103 7.675 2.448 Nd
9.882 3.641 4.432 Nd
6.640 6.294 6.844 Nd
7.035 5.031 3.921 Sn
0.000 0.000 0.000 Sn
4.825 3.451 2.689 Ge
2.210 1.581 1.232 Ge
11.860 8.482 6.610 Ge
9.246 6.612 5.153 Ge
```

formation enthalpy at 0 K: -711 meV per atom
electronic total energy: -5.301 eV/atom
density of states at the Fermi level: 0.5366 states/eV/atom

=====

[7]
Compound: Li2EuHo
Source: the Alexandria database
Functional: GGA-PBE
Structure: relaxed

Cell and atoms, written as POSCAR:
```
Li2EuHo
1.0
-1.368 4.894 -1.924
-5.116 0.979 -1.544
-3.145 3.300 2.956
Eu Ho Li
1 1 2
Cartesian
0.000 0.000 0.000 Eu
-4.815 4.586 -0.256 Ho
-2.407 2.293 -0.128 Li
-7.222 6.879 -0.384 Li
```

formation enthalpy at 0 K: 163 meV per atom
electronic total energy: -4.507 eV/atom
density of states at the Fermi level: 2.3613 states/eV/atom

=====

[8]
Compound: Cu2Ag3Au4
Source: the Alexandria database
Functional: GGA-PBE
Structure: relaxed

Cell and atoms, written as POSCAR:
```
Cu2Ag3Au4
1.0
4.030 0.009 -0.001
2.025 4.465 0.755
-0.003 1.003 8.589
Cu Ag Au
2 3 4
Cartesian
2.015 2.278 6.952 Cu
4.037 3.199 2.391 Cu
2.017 1.948 4.075 Ag
0.000 0.000 0.000 Ag
4.035 3.529 5.268 Ag
4.036 3.842 8.121 Au
2.025 4.767 3.567 Au
4.027 0.710 5.777 Au
2.016 1.636 1.222 Au
```

formation enthalpy at 0 K: -7 meV per atom
electronic total energy: -3.324 eV/atom
density of states at the Fermi level: 0.1891 states/eV/atom